# NaHg3O

A geometry-optimized NaHg3O structure (PBE, the Alexandria database).

Output
Crystal system: cubic
Offset from the most stable computed form, meV per atom: 356.5
Uncorrected formation energy, eV/f.u.: 2.34

The structure in extended XYZ format:
```
5
Lattice="-2.181 -5.478 -0.124 1.087 -0.302 -5.788 5.370 -2.163 1.121" Properties=species:S:1:pos:R:3 pbc="T T T"
Na 0.000 0.000 0.000
Hg 0.543 -0.151 -2.894
Hg 2.685 -1.082 0.561
Hg -1.090 -2.739 -0.062
O 2.138 -3.971 -2.396
```



# TmInGePd

A geometry-optimized TmInGePd structure (PBE, the Alexandria database).

Output
Crystal system: cubic

The structure in extended XYZ format:
```
4
Lattice="4.858 0.000 0.000 2.429 4.207 0.000 2.429 1.402 3.967" Properties=species:S:1:pos:R:3 pbc="T T T"
Ge 2.429 1.402 0.992
Tm 4.858 2.805 1.983
Pd 7.287 4.207 2.975
In 0.000 0.000 0.000
```



# RbTaHg

A geometry-optimized RbTaHg structure (PBE, the Alexandria database).

Output
Crystal system: triclinic
Offset from the most stable computed form, meV per atom: 231.5

The structure in extended XYZ format:
```
6
Lattice="3.118 -0.029 -0.013 -1.493 6.386 -0.570 0.006 -2.121 9.357" Properties=species:S:1:pos:R:3 pbc="T T T"
Hg 0.062 3.666 7.440
Hg 0.027 2.205 0.841
Rb 1.610 0.447 6.613
Rb 1.604 3.445 3.867
Ta 1.568 0.052 2.198
Ta 1.613 4.698 0.325
```



# Zn2InIN

A geometry-optimized Zn2InIN structure (PBE, the Alexandria database).

Output
Crystal system: tetragonal
Uncorrected formation energy, eV/f.u.: 2.31

The structure in extended XYZ format:
```
5
Lattice="-3.434 -2.453 0.142 5.196 -7.400 -2.167 0.685 -0.721 4.104" Properties=species:S:1:pos:R:3 pbc="T T T"
I 2.598 -3.700 -1.084
Zn 0.342 -0.361 2.052
Zn -1.717 -1.227 0.071
N 0.000 0.000 0.000
In 1.223 -5.287 1.039
```



# Ga3CF

A geometry-optimized Ga3CF structure (PBE, the Alexandria database).

Output
Crystal system: cubic
Offset from the most stable computed form, meV per atom: 0.0
Uncorrected formation energy, eV/f.u.: 1.58

The structure in extended XYZ format:
```
5
Lattice="4.345 0.000 0.000 0.000 4.345 0.000 0.000 0.000 4.345" Properties=species:S:1:pos:R:3 pbc="T T T"
C 0.000 0.000 0.000
Ga 0.000 2.173 0.000
Ga 0.000 0.000 2.173
Ga 2.173 0.000 0.000
F 2.173 2.173 2.173
```



# BeSi2BiRh

A geometry-optimized BeSi2BiRh structure (PBE, the Alexandria database).

Output
Crystal system: tetragonal
Offset from the most stable computed form, meV per atom: 1559.6
Uncorrected formation energy, eV/f.u.: 9.31

The structure in extended XYZ format:
```
5
Lattice="-5.050 1.622 -0.405 0.174 -0.697 -4.961 -1.661 -5.012 0.647" Properties=species:S:1:pos:R:3 pbc="T T T"
Be -3.269 -2.044 -2.360
Si -0.831 -2.506 0.323
Si -2.525 0.811 -0.202
Rh 0.087 -0.349 -2.480
Bi 0.000 0.000 0.000
```



# RbSrTa2Os

A geometry-optimized RbSrTa2Os structure (PBE, the Alexandria database).

Output
Crystal system: tetragonal

The structure in extended XYZ format:
```
5
Lattice="4.965 0.000 0.000 0.000 4.993 0.000 0.000 0.000 4.965" Properties=species:S:1:pos:R:3 pbc="T T T"
Sr 2.482 2.497 2.482
Os 0.000 2.497 0.000
Rb 0.000 0.000 0.000
Ta 0.000 0.000 2.482
Ta 2.482 0.000 0.000
```



# Sr6Mg5Tl

A geometry-optimized Sr6Mg5Tl structure (PBE, the Alexandria database).

Output
Crystal system: orthorhombic

The structure in extended XYZ format:
```
12
Lattice="0.706 5.762 -0.957 -1.202 -4.376 -9.130 -7.281 -0.939 7.076" Properties=species:S:1:pos:R:3 pbc="T T T"
Sr -2.910 0.673 1.913
Sr -6.858 0.900 0.384
Sr -1.537 2.990 -1.210
Sr -6.240 -2.543 -1.801
Sr -0.919 -0.453 -3.396
Sr -4.867 -0.226 -4.925
Mg -5.883 1.351 3.813
Mg -5.252 -2.086 1.667
Mg -3.888 0.223 -1.506
Mg -3.230 -3.229 -3.722
Mg -1.893 -0.904 -6.824
Tl 0.000 0.000 0.000
```



# Na2MnSb2

A geometry-optimized Na2MnSb2 structure (PBE, the Alexandria database).

Output
Crystal system: tetragonal
Offset from the most stable computed form, meV per atom: 462.1
Uncorrected formation energy, eV/f.u.: 1.58

The structure in extended XYZ format:
```
5
Lattice="3.176 0.000 0.000 0.000 3.176 0.000 0.000 0.000 14.696" Properties=species:S:1:pos:R:3 pbc="T T T"
Na 1.588 1.588 8.959
Na 1.588 1.588 5.737
Mn 1.588 1.588 0.000
Sb 1.588 1.588 2.644
Sb 1.588 1.588 12.052
```



# Be2Nb3

A geometry-optimized Be2Nb3 structure (PBE, the Alexandria database).

Output
Crystal system: tetragonal

The structure in extended XYZ format:
```
10
Lattice="-0.728 0.362 6.474 -5.231 -3.883 -0.371 1.984 -2.709 0.375" Properties=species:S:1:pos:R:3 pbc="T T T"
Be -2.667 -1.180 5.595
Be -0.876 -0.301 2.459
Be -5.084 -3.220 3.644
Be -3.293 -2.341 0.508
Nb 0.000 0.000 0.000
Nb -2.980 -1.761 3.052
Nb -0.440 -1.805 4.519
Nb -0.816 -2.535 1.229
Nb -3.159 -3.695 5.249
Nb -3.535 -4.425 1.959
```



# BaSc2B

A geometry-optimized BaSc2B structure (PBE, the Alexandria database).

Output
Crystal system: tetragonal

The structure in extended XYZ format:
```
8
Lattice="7.205 0.000 0.000 0.000 7.205 0.000 3.602 3.602 5.153" Properties=species:S:1:pos:R:3 pbc="T T T"
Sc 3.602 1.801 1.288
Sc 3.603 5.404 1.288
Sc 5.404 7.205 3.865
Sc 9.006 7.205 3.865
B 3.602 3.602 0.000
B 3.602 7.205 2.577
Ba 0.000 0.000 0.000
Ba 7.205 3.602 2.577
```



# PmDyMo4

A geometry-optimized PmDyMo4 structure (PBE, the Alexandria database).

Output
Crystal system: cubic

The structure in extended XYZ format:
```
6
Lattice="-1.343 -0.881 5.308 -4.602 -2.825 1.264 0.378 -5.100 2.147" Properties=species:S:1:pos:R:3 pbc="T T T"
Mo -3.667 -2.956 4.376
Mo -1.181 -4.091 4.817
Mo -3.479 -5.502 5.448
Mo -2.808 -5.062 2.798
Pm -1.392 -2.201 2.180
Dy 0.000 0.000 0.000
```



| no. | DFT total energy (eV per cell) | magnetic moment (μB per formula unit) |
| --- | --- | --- |
| 1 | -4.84 | 1.24 |
| 2 | -19.16 | 0.00 |
| 3 | -22.75 | 0.00 |
| 4 | -12.85 | 0.00 |
| 5 | -18.60 | 0.00 |
| 6 | -16.50 | 0.00 |
| 7 | -22.79 | 0.00 |
| 8 | -21.94 | 0.00 |
| 9 | -18.48 | 3.88 |
| 10 | -76.89 | 0.00 |
| 11 | -39.55 | 0.00 |
| 12 | -51.70 | 0.00 |